(1)
VASP calculation (PBE) on a relaxed structure of NiAgBi2.

Output
Formation energy from the elements ... 0.19 eV per atom

a b c (Å): 9.106 9.106 9.106
angles (deg): 23.32 23.32 23.32
Fractional positions:
Ni (0.000, 0.000, 0.000)
Ag (0.500, 0.500, 0.500)
Bi (0.393, 0.393, 0.393)
Bi (0.607, 0.607, 0.607)

(2)
VASP calculation (PBE) on a relaxed structure of Ba4LiPu3O12.

Output
Uncorrected formation energy ... -2.82 eV/atom

a b c (Å): 7.523 7.523 7.523
angles (deg): 109.47 109.47 109.47
Fractional positions:
Ba (0.000, 0.000, 0.500)
Ba (0.000, 0.500, 0.000)
Ba (0.500, 0.000, 0.000)
Ba (0.500, 0.500, 0.500)
Li (0.000, 0.000, 0.000)
Pu (0.000, 0.500, 0.500)
Pu (0.500, 0.000, 0.500)
Pu (0.500, 0.500, 0.000)
O (0.000, 0.267, 0.267)
O (0.000, 0.733, 0.733)
O (0.250, 0.500, 0.750)
O (0.250, 0.750, 0.500)
O (0.267, 0.000, 0.267)
O (0.267, 0.267, 0.000)
O (0.500, 0.250, 0.750)
O (0.500, 0.750, 0.250)
O (0.733, 0.000, 0.733)
O (0.733, 0.733, 0.000)
O (0.750, 0.250, 0.500)
O (0.750, 0.500, 0.250)

(3)
VASP calculation (PBE) on a relaxed structure of Pm2SbS.

Output
Offset from the most stable computed form ... 0 meV/atom
Uncorrected formation energy ... -1.57 eV/atom

a b c (Å): 7.410 7.410 7.410
angles (deg): 33.45 33.45 33.45
Fractional positions:
Pm (0.242, 0.242, 0.242)
Pm (0.758, 0.758, 0.758)
Sb (0.000, 0.000, 0.000)
S (0.500, 0.500, 0.500)

no.,calculated density (g/cm³),M_tot (Bohr magnetons per cell)
1,9.340,0.0
2,7.499,9.0
3,6.695,0.0